The following is a DFT calculation (PBE) of a relaxed Nd2Ga4Pt5 crystal.

Cell: 5.6468 5.5840 8.3348 Å, 80.14 70.20 59.63°
Last column: nearest neighbours and their distance in Å.
Fractional coordinates of all 11 atoms:
1 Ga 0.5274 0.6856 0.2595  5 Pt 2.52-2.63
2 Ga 0.4726 0.3144 0.7405  5 Pt 2.52-2.63
3 Ga 0.7869 0.6856 0.7405  5 Pt 2.52-2.63
4 Ga 0.2131 0.3144 0.2595  5 Pt 2.52-2.63
5 Pt 0.2500 0.5000 0.5000  4 Ga 2.52
6 Pt 0.5000 0.5000 0.0000  4 Ga 2.63, 4 Pt 2.79-2.82
7 Pt 0.5000 0.0000 0.0000  4 Ga 2.54, 4 Pt 2.79
8 Pt 0.0000 0.5000 0.0000  4 Ga 2.63, 4 Pt 2.79-2.82
9 Pt 0.7500 0.5000 0.5000  4 Ga 2.52
10 Nd 0.8720 0.0000 0.2560  6 Ga 3.20-3.30, 10 Pt 3.38-3.46
11 Nd 0.1280 0.0000 0.7440  6 Ga 3.20-3.30, 10 Pt 3.38-3.46

Summary:
The space group is No. 69. The total magnetic moment comes out at 0.000 Bohr magnetons per cell.

***

The following is a DFT calculation (PBE) of a relaxed NdGa3Pt crystal.

Cell: 6.2177 6.2177 6.2177 Å, 140.48 140.48 57.13°
Last column: nearest neighbours and their distance in Å.
Fractional coordinates of all 5 atoms:
1 Ga 0.3860 0.3860 0.0000  3 Ga 2.49-2.57, 2 Pt 2.57
2 Ga 0.7500 0.2500 0.5000  4 Ga 2.57
3 Ga 0.6140 0.6140 0.0000  3 Ga 2.49-2.57, 2 Pt 2.57
4 Pt 0.2500 0.7500 0.5000  4 Ga 2.57
5 Nd 0.0000 0.0000 0.0000  12 Ga 3.22-3.45, 4 Pt 3.45

Summary:
The value obtained for the polymorph energy (0 for the lowest one) is 26 meV per atom. The space group is No. 119. The total magnetic moment comes out at 0.000 Bohr magnetons per cell.

***

The following is a DFT calculation (PBE) of a relaxed NdGa4Pt3 crystal.

Cell: 4.2508 4.2508 8.4739 Å, 90.00 90.00 90.00°
Last column: nearest neighbours and their distance in Å.
Fractional coordinates of all 8 atoms:
1 Pt 0.5000 0.5000 0.6583  4 Ga 2.55, 1 Pt 2.68
2 Pt 0.5000 0.5000 0.3417  4 Ga 2.55, 1 Pt 2.68
3 Pt 0.0000 0.0000 0.0000  8 Ga 2.59
4 Ga 0.5000 0.0000 0.8250  4 Pt 2.55-2.59
5 Ga 0.5000 0.0000 0.1750  4 Pt 2.55-2.59
6 Ga 0.0000 0.5000 0.1750  4 Pt 2.55-2.59
7 Ga 0.0000 0.5000 0.8250  4 Pt 2.55-2.59
8 Nd 0.0000 0.0000 0.5000  8 Pt 3.29, 8 Ga 3.48

Summary:
The space group is No. 123. The total magnetic moment comes out at 0.000 Bohr magnetons per cell.

***

The following is a DFT calculation (PBE) of a relaxed Nd4Ga12Pt crystal.

Cell: 7.6107 7.6107 7.6107 Å, 109.47 109.47 109.47°
Last column: nearest neighbours and their distance in Å.
Fractional coordinates of all 17 atoms:
1 Nd 0.0000 0.5000 0.0000  12 Ga 3.11-3.13
2 Nd 0.0000 0.0000 0.5000  12 Ga 3.11-3.13
3 Nd 0.5000 0.0000 0.0000  12 Ga 3.11-3.13
4 Nd 0.5000 0.5000 0.5000  12 Ga 3.11-3.13
5 Ga 0.0000 0.7033 0.7033  1 Pt 2.61, 4 Ga 2.83
6 Ga 0.5000 0.7500 0.2500  8 Ga 2.83-3.11, 4 Nd 3.11
7 Ga 0.0000 0.2967 0.2967  1 Pt 2.61, 4 Ga 2.83
8 Ga 0.7033 0.7033 0.0000  1 Pt 2.61, 4 Ga 2.83
9 Ga 0.2500 0.5000 0.7500  8 Ga 2.83-3.11, 4 Nd 3.11
10 Ga 0.5000 0.2500 0.7500  8 Ga 2.83-3.11, 4 Nd 3.11
11 Ga 0.2967 0.2967 0.0000  1 Pt 2.61, 4 Ga 2.83
12 Ga 0.2500 0.7500 0.5000  8 Ga 2.83-3.11, 4 Nd 3.11
13 Ga 0.7500 0.2500 0.5000  8 Ga 2.83-3.11, 4 Nd 3.11
14 Ga 0.7500 0.5000 0.2500  8 Ga 2.83-3.11, 4 Nd 3.11
15 Ga 0.2967 0.0000 0.2967  1 Pt 2.61, 4 Ga 2.83
16 Ga 0.7033 0.0000 0.7033  1 Pt 2.61, 4 Ga 2.83
17 Pt 0.0000 0.0000 0.0000  6 Ga 2.61

Summary:
The space group is No. 229. The total magnetic moment comes out at 0.000 Bohr magnetons per cell.

***

The following is a DFT calculation (PBE) of a relaxed Nd4GaPt crystal.

Cell: 5.4083 6.3952 11.0838 Å, 90.00 104.12 90.00°
Last column: nearest neighbours and their distance in Å.
Fractional coordinates of all 12 atoms:
1 Nd 0.4447 0.8472 0.8894  1 Pt 2.83
2 Nd 0.7127 0.5558 0.4254  4 Nd 3.12-3.40, 3 Ga 3.23-3.30, 1 Pt 3.45
3 Nd 0.1106 0.7979 0.2212  2 Pt 2.82
4 Nd 0.3085 0.5729 0.6171  1 Pt 2.89, 1 Nd 3.12, 2 Ga 3.21
5 Nd 0.6915 0.0729 0.3829  1 Pt 2.89, 1 Nd 3.12, 2 Ga 3.21
6 Nd 0.5553 0.3472 0.1106  1 Pt 2.83
7 Nd 0.2873 0.0558 0.5746  4 Nd 3.12-3.40, 3 Ga 3.23-3.30, 1 Pt 3.45
8 Nd 0.8894 0.2979 0.7788  2 Pt 2.82
9 Pt 0.5763 0.8401 0.1527  4 Nd 2.82-2.89
10 Pt 0.4237 0.3401 0.8473  4 Nd 2.82-2.89
11 Ga 0.1593 0.3194 0.3186  9 Nd 3.21-3.51
12 Ga 0.8407 0.8194 0.6814  9 Nd 3.21-3.51

Summary:
The value obtained for the polymorph energy (0 for the lowest one) is 137 meV per atom. The space group is No. 36. The total magnetic moment comes out at 0.000 Bohr magnetons per cell.

***

The following is a DFT calculation (PBE) of a relaxed Nd2Ga3Pt crystal.

Cell: 5.8975 5.8975 8.6427 Å, 106.90 106.90 98.50°
Last column: nearest neighbours and their distance in Å.
Fractional coordinates of all 12 atoms:
1 Pt 0.6677 0.6677 0.3354  3 Ga 2.57-2.59
2 Pt 0.3323 0.3323 0.6646  3 Ga 2.57-2.59
3 Nd 0.7375 0.7375 0.0000  10 Ga 3.17-3.27, 2 Pt 3.18
4 Nd 0.2625 0.2625 0.0000  10 Ga 3.17-3.27, 2 Pt 3.18
5 Nd 0.7500 0.2500 0.5000  4 Pt 3.21, 8 Ga 3.22
6 Nd 0.2500 0.7500 0.5000  4 Pt 3.21, 8 Ga 3.22
7 Ga 0.1655 0.6676 0.8330  2 Ga 2.56-2.58, 1 Pt 2.59
8 Ga 0.3324 0.8345 0.1670  2 Ga 2.56-2.58, 1 Pt 2.59
9 Ga 0.1659 0.1659 0.3319  2 Ga 2.56, 1 Pt 2.57
10 Ga 0.8341 0.8341 0.6681  2 Ga 2.56, 1 Pt 2.57
11 Ga 0.8345 0.3324 0.1670  2 Ga 2.56-2.58, 1 Pt 2.59
12 Ga 0.6676 0.1655 0.8330  2 Ga 2.56-2.58, 1 Pt 2.59

Summary:
The space group is No. 69. The total magnetic moment comes out at 0.000 Bohr magnetons per cell.

***

The following is a DFT calculation (PBE) of a relaxed Nd3Ga2Pt7 crystal.

Cell: 4.1092 4.1609 14.9890 Å, 97.98 90.00 90.00°
Last column: nearest neighbours and their distance in Å.
Fractional coordinates of all 12 atoms:
1 Pt 0.5000 0.1315 0.2631  2 Ga 2.51
2 Pt 0.0000 0.0000 0.0000  2 Ga 2.46
3 Pt 0.0000 0.2123 0.4247  6 Nd 2.94-3.27, 6 Pt 3.05-3.19
4 Pt 0.5000 0.8685 0.7369  2 Ga 2.51
5 Pt 0.0000 0.7877 0.5753  6 Nd 2.94-3.27, 6 Pt 3.05-3.19
6 Pt 0.0000 0.6308 0.2615  2 Ga 2.52
7 Pt 0.0000 0.3692 0.7385  2 Ga 2.52
8 Ga 0.0000 0.9172 0.8345  5 Pt 2.46-2.52
9 Ga 0.0000 0.0828 0.1655  5 Pt 2.46-2.52
10 Nd 0.5000 0.7018 0.4037  10 Pt 2.94-3.27
11 Nd 0.5000 0.5000 0.0000  4 Pt 2.92
12 Nd 0.5000 0.2982 0.5963  10 Pt 2.94-3.27

Summary:
The space group is No. 65. The total magnetic moment comes out at 0.000 Bohr magnetons per cell.

***

The following is a DFT calculation (PBE) of a relaxed Nd2Ga3Pt2 crystal.

Cell: 4.3710 5.6814 6.9043 Å, 113.13 90.00 112.62°
Last column: nearest neighbours and their distance in Å.
Fractional coordinates of all 7 atoms:
1 Ga 0.3790 0.7580 0.5631  3 Pt 2.62-2.70, 1 Ga 2.73
2 Ga 0.5000 0.0000 0.0000  4 Pt 2.71, 2 Ga 2.73
3 Ga 0.6210 0.2420 0.4369  3 Pt 2.62-2.70, 1 Ga 2.73
4 Pt 0.1394 0.2787 0.2196  5 Ga 2.62-2.71
5 Pt 0.8606 0.7213 0.7804  5 Ga 2.62-2.71
6 Nd 0.1481 0.2963 0.7734  4 Pt 3.04-3.12, 6 Ga 3.11-3.37
7 Nd 0.8519 0.7037 0.2266  4 Pt 3.04-3.12, 6 Ga 3.11-3.37

Summary:
The value obtained for the polymorph energy (0 for the lowest one) is 0 meV per atom. The space group is No. 12. The total magnetic moment comes out at 0.000 Bohr magnetons per cell.

***

The following is a DFT calculation (PBE) of a relaxed Nd2Ga3Pt crystal.

Cell: 4.5234 5.7560 5.8849 Å, 79.28 67.40 66.86°
Last column: nearest neighbours and their distance in Å.
Fractional coordinates of all 6 atoms:
1 Ga 0.8427 0.6118 0.7028  1 Pt 2.62, 3 Ga 2.66-2.91
2 Ga 0.1637 0.7674 0.9052  3 Ga 2.66-2.72, 1 Pt 2.85
3 Ga 0.8321 0.2314 0.1044  2 Pt 2.60, 2 Ga 2.72-2.91
4 Nd 0.5428 0.2130 0.7013  9 Ga 3.09-3.42, 3 Pt 3.29-3.33
5 Nd 0.4519 0.7962 0.3000  3 Pt 3.09-3.16, 9 Ga 3.13-3.43
6 Pt 0.1668 0.3802 0.2862  4 Ga 2.60-2.85

Summary:
The space group is No. 8. The total magnetic moment comes out at 0.000 Bohr magnetons per cell.

***

The following is a DFT calculation (PBE) of a relaxed Nd2GaPt crystal.

Cell: 4.0364 4.0364 8.1966 Å, 75.75 75.75 60.00°
Last column: nearest neighbours and their distance in Å.
Fractional coordinates of all 4 atoms:
1 Nd 0.7576 0.7576 0.7271  3 Pt 2.94, 3 Ga 3.17
2 Nd 0.2424 0.2424 0.2729  3 Pt 2.94, 3 Ga 3.17
3 Ga 0.0000 0.0000 0.0000  6 Nd 3.17
4 Pt 0.5000 0.5000 0.5000  6 Nd 2.94

Summary:
The space group is No. 166. The total magnetic moment comes out at 0.000 Bohr magnetons per cell.

***

Number 1: E_form -0.88 eV per atom, electronic total energy -5.592 eV per atom. Number 2: E_form -0.73 eV per atom, electronic total energy -4.712 eV per atom. Number 3: E_form -0.79 eV per atom, electronic total energy -5.167 eV per atom. Number 4: E_form -0.64 eV per atom, electronic total energy -4.258 eV per atom. Number 5: E_form -0.44 eV per atom, electronic total energy -5.125 eV per atom. Number 6: E_form -0.83 eV per atom, electronic total energy -4.936 eV per atom. Number 7: E_form -0.81 eV per atom, electronic total energy -6.026 eV per atom. Number 8: E_form -0.88 eV per atom, electronic total energy -5.269 eV per atom. Number 9: E_form -0.83 eV per atom, electronic total energy -4.943 eV per atom. Number 10: E_form -0.66 eV per atom, electronic total energy -5.315 eV per atom.